No. 1
## CuTc3 (GGA-PBE)

Data for a relaxed CuTc3 crystal.

The calculation puts the polymorph energy (0 for the lowest one) at 3.5 kJ per mole of atoms. The final energy comes out at -8.67 eV per atom. The formation energy comes out at 0.53 eV/f.u. The space group is P-6m2 (187).

Lattice parameters (Å, degrees): 2.730 2.730 8.766 90.00 90.00 120.00
Element x y z (fractional)
Cu 0.000 0.000 0.000
Tc 0.000 0.000 0.500
Tc 0.667 0.333 0.251
Tc 0.667 0.333 0.749

---

No. 2
## CuTc3 (GGA-PBE)

Data for a relaxed CuTc3 crystal.

The calculation puts the polymorph energy (0 for the lowest one) at 16.3 kJ per mole of atoms. The final energy comes out at -8.53 eV per atom. The formation energy comes out at 1.06 eV/f.u. The space group is P4/mmm (123).

Lattice parameters (Å, degrees): 3.164 3.164 5.607 90.00 90.00 90.00
Element x y z (fractional)
Cu 0.000 0.000 0.000
Tc 0.500 0.500 0.231
Tc 0.000 0.000 0.500
Tc 0.500 0.500 0.769

---

No. 3
## Cu2Tc (GGA-PBE)

Data for a relaxed Cu2Tc crystal.

The calculation puts the polymorph energy (0 for the lowest one) at 9.3 kJ per mole of atoms. The final energy comes out at -5.94 eV per atom. The formation energy comes out at 0.75 eV/f.u. The space group is Cm (8).

Lattice parameters (Å, degrees): 5.155 5.155 6.280 74.19 74.19 29.48
Element x y z (fractional)
Cu 0.005 0.005 0.013
Cu 0.330 0.330 0.331
Cu 0.659 0.659 0.668
Cu 0.615 0.615 0.277
Tc 0.938 0.938 0.611
Tc 0.286 0.286 0.933

---

No. 4
## CuTc3 (GGA-PBE)

Data for a relaxed CuTc3 crystal.

The calculation puts the polymorph energy (0 for the lowest one) at 9.8 kJ per mole of atoms. The final energy comes out at -8.60 eV per atom. The formation energy comes out at 0.79 eV/f.u. The space group is C2/m (12).

Lattice parameters (Å, degrees): 2.732 4.749 4.626 100.35 90.00 106.71
Element x y z (fractional)
Cu 0.000 0.000 0.000
Tc 0.500 0.000 0.500
Tc 0.246 0.492 0.743
Tc 0.754 0.508 0.257

---

No. 5
## CuTc3 (GGA-PBE)

Data for a relaxed CuTc3 crystal.

The calculation puts the polymorph energy (0 for the lowest one) at 5.1 kJ per mole of atoms. The final energy comes out at -8.65 eV per atom. The formation energy comes out at 0.60 eV/f.u. The space group is R-3m (166).

Lattice parameters (Å, degrees): 2.717 9.022 2.717 81.34 120.00 98.66
Element x y z (fractional)
Cu 0.000 0.000 0.000
Tc 0.250 0.749 0.750
Tc 0.500 0.500 0.500
Tc 0.750 0.251 0.250

---

No. 6
## CuTc3 (GGA-PBE)

Data for a relaxed CuTc3 crystal.

The calculation puts the polymorph energy (0 for the lowest one) at 2.9 kJ per mole of atoms. The final energy comes out at -8.67 eV per atom. The formation energy comes out at 0.50 eV/f.u. The space group is Pmm2 (25).

Lattice parameters (Å, degrees): 2.747 4.341 4.694 90.00 90.00 90.00
Element x y z (fractional)
Cu 0.000 0.000 0.998
Tc 0.500 0.000 0.504
Tc 0.500 0.500 0.837
Tc 0.000 0.500 0.326

---

No. 7
## CuTc3 (GGA-PBE)

Data for a relaxed CuTc3 crystal.

The calculation puts the polymorph energy (0 for the lowest one) at 9.2 kJ per mole of atoms. The final energy comes out at -8.61 eV per atom. The formation energy comes out at 0.76 eV/f.u. The space group is Imm2 (44).

Lattice parameters (Å, degrees): 4.573 5.116 2.812 74.05 90.00 116.55
Element x y z (fractional)
Cu 0.993 0.000 0.000
Tc 0.488 0.000 0.500
Tc 0.091 0.496 0.252
Tc 0.595 0.504 0.748

---

No. 8
## Cu4Tc5 (GGA-PBE)

Data for a relaxed Cu4Tc5 crystal.

The calculation puts the polymorph energy (0 for the lowest one) at 23.9 kJ per mole of atoms. The final energy comes out at -7.17 eV per atom. The formation energy comes out at 3.72 eV/f.u. The space group is P6_3/mcm (193).

Lattice parameters (Å, degrees): 7.420 7.420 5.104 90.00 90.00 60.00
Element x y z (fractional)
Tc 0.301 0.699 0.250
Tc 0.000 0.301 0.250
Tc 0.699 0.000 0.250
Tc 0.699 0.301 0.750
Tc 0.000 0.699 0.750
Tc 0.301 0.000 0.750
Tc 0.333 0.333 0.000
Tc 0.667 0.667 0.500
Tc 0.667 0.667 0.000
Tc 0.333 0.333 0.500
Cu 0.000 0.000 0.000
Cu 0.000 0.000 0.500
Cu 0.631 0.369 0.250
Cu 0.000 0.631 0.250
Cu 0.369 0.000 0.250
Cu 0.369 0.631 0.750
Cu 0.000 0.369 0.750
Cu 0.631 0.000 0.750